First-principles (meta-GGA SCAN) data for a crystal of Ba2TlAu relaxed with PBEsol, as listed in the Alexandria database.

Properties
energy relative to the elements: -638 meV/atom
relative energy among the computed polymorphs: 58 meV/atom
symmetry: Fm-3m

a b c (Å): 5.7415 5.7415 5.7415
angles (deg): 60.00 60.00 60.00
Sites, in units of the cell vectors:
1 Au 0.0000 0.0000 0.0000
2 Ba 0.2500 0.2500 0.2500
3 Ba 0.7500 0.7500 0.7500
4 Tl 0.5000 0.5000 0.5000

***

First-principles (meta-GGA SCAN) data for a crystal of BaTl2Au relaxed with PBEsol, as listed in the Alexandria database.

Properties
energy relative to the elements: -444 meV/atom
symmetry: Immm

a b c (Å): 3.9636 5.6818 6.1803
angles (deg): 117.37 108.70 90.00
Sites, in units of the cell vectors:
1 Ba 0.0000 0.5000 0.0000
2 Tl 0.2114 0.2114 0.4227
3 Au 0.5000 0.0000 0.0000
4 Tl 0.7886 0.7886 0.5773